Here is a geometry-optimized Tl2NiHgBr6 structure from Alexandria via LeMat-Bulk. Energies are from PBE.

Cell lengths 7.858, 7.772, 10.778 Å; angles 90.00, 89.51, 90.00 degrees
Atoms (fractional coordinates):
1 Tl 0.009 0.978 0.258
2 Tl 0.509 0.522 0.758
3 Tl 0.991 0.022 0.742
4 Tl 0.491 0.478 0.242
5 Ni 0.500 0.000 0.500
6 Ni 0.000 0.500 0.000
7 Hg 0.500 0.000 0.000
8 Hg 0.000 0.500 0.500
9 Br 0.287 0.757 0.024
10 Br 0.787 0.743 0.524
11 Br 0.713 0.243 0.976
12 Br 0.213 0.257 0.476
13 Br 0.312 0.783 0.429
14 Br 0.812 0.717 0.929
15 Br 0.688 0.217 0.571
16 Br 0.188 0.283 0.071
17 Br 0.916 0.561 0.206
18 Br 0.416 0.939 0.706
19 Br 0.084 0.439 0.794
20 Br 0.584 0.061 0.294

Computed properties:
Space group: P2_1/c
Energy: -2.619 eV per atom
Crystal system: monoclinic



Here is a geometry-optimized ZrTc2Br structure from Alexandria via LeMat-Bulk. Energies are from PBE.

Cell lengths 5.316, 5.316, 5.316 Å; angles 137.23, 137.23, 62.09 degrees
Atoms (fractional coordinates):
1 Br 0.750 0.250 0.500
2 Tc 0.000 0.000 0.000
3 Tc 0.250 0.750 0.500
4 Zr 0.500 0.500 0.000

Computed properties:
Space group: I-4m2
Energy: -7.150 eV per atom
Density of states at the Fermi level: 4.96 states/eV/cell
Crystal system: tetragonal